DFT (PBE-GGA) results for a relaxed structure of ZrTlPd2.

Unit cell a=3.458 b=3.458 c=6.569 alpha=90.00 beta=90.00 gamma=90.00
Space group P4/mmm (No. 123)
Symmetry-distinct sites (fractional):
1 Zr 0.000 0.000 0.000 x1
2 Tl 0.000 0.000 0.500 x1
3 Pd 0.500 0.500 0.217 x2

The calculation puts the formation energy at -0.465 eV/atom.

---

DFT (PBE-GGA) results for a relaxed structure of La4Er3ScS8.

Unit cell a=7.8765 b=7.8765 c=20.0690 alpha=90.00 beta=90.00 gamma=120.00
Space group R-3m (No. 166, hexagonal axes)
Symmetry-distinct sites (fractional):
1 La 0.0000 0.0000 0.0000 x3
2 La 0.0000 0.5000 0.0000 x9
3 Er 0.0000 0.5000 0.5000 x9
4 Sc 0.0000 0.0000 0.5000 x3
5 S 0.0000 0.0000 0.2416 x6
6 S 0.0059 0.5030 0.2404 x18

Its energy relative to the elements, uncorrected is -2046 meV/atom.